Record 1
Computed, not measured: a relaxed TbSm4Dy8 crystal at the GGA-PBE level of DFT.

```
TbSm4Dy8
1.0
7.780 0.000 0.000
0.000 7.780 0.000
0.000 0.000 7.780
Tb Sm Dy
1 4 8
Cartesian
0.000 0.000 0.000 Tb
0.000 0.000 3.890 Sm
0.000 3.890 0.000 Sm
3.890 0.000 0.000 Sm
3.890 3.890 3.890 Sm
2.024 2.024 2.024 Dy
2.024 2.024 5.756 Dy
2.024 5.756 2.024 Dy
2.024 5.756 5.756 Dy
5.756 2.024 2.024 Dy
5.756 2.024 5.756 Dy
5.756 5.756 2.024 Dy
5.756 5.756 5.756 Dy
```

Computed properties:
- symmetry = Pm-3m, No. 221
- density of states at the Fermi level (states/eV/f.u.) = 19.311

Record 2
Computed, not measured: a relaxed SrDy2O4 crystal at the GGA-PBE level of DFT.

```
SrDy2O4
1.0
10.164 0.000 0.000
0.000 3.433 0.000
0.000 0.000 12.005
Sr Dy O
4 8 16
Cartesian
2.508 0.858 1.787 Sr
2.574 2.575 7.789 Sr
7.590 0.858 4.215 Sr
7.656 2.575 10.218 Sr
0.779 0.858 4.655 Dy
0.783 0.858 10.675 Dy
4.299 2.575 4.672 Dy
4.302 2.575 10.658 Dy
5.861 0.858 1.347 Dy
5.865 0.858 7.332 Dy
9.380 2.575 1.330 Dy
9.384 2.575 7.349 Dy
0.153 2.575 9.409 O
0.761 0.858 6.931 O
1.270 2.575 0.245 O
2.145 2.575 3.913 O
2.937 0.858 9.916 O
3.812 0.858 6.248 O
4.321 2.575 0.928 O
4.929 0.858 3.406 O
5.235 2.575 8.599 O
5.842 0.858 11.077 O
6.352 2.575 5.757 O
7.227 2.575 2.089 O
8.018 0.858 8.091 O
8.893 0.858 11.760 O
9.403 2.575 5.074 O
10.011 0.858 2.596 O
```

Computed properties:
- E_form (uncorrected) (eV per formula unit) = -23.396
- symmetry = Pnma, No. 62
- density of states at the Fermi level (states/eV/f.u.) = 0.000

Record 3
Computed, not measured: a relaxed Se3Br crystal at the GGA-PBE level of DFT.

```
Se3Br
1.0
0.000 3.506 3.506
3.506 0.000 3.506
3.506 3.506 0.000
Se Br
3 1
Cartesian
0.000 0.000 0.000 Se
1.753 1.753 1.753 Se
5.259 5.259 5.259 Se
3.506 3.506 3.506 Br
```

Computed properties:
- E_form (uncorrected) (eV per formula unit) = 2.606
- relative energy among the computed polymorphs (kJ per mole of atoms) = 57.7
- symmetry = Fm-3m, No. 225
- density of states at the Fermi level (states/eV/f.u.) = 2.702

Record 4
Computed, not measured: a relaxed CaNd2Pb2 crystal at the GGA-PBE level of DFT.

```
CaNd2Pb2
1.0
8.317 0.000 0.000
0.000 8.317 0.000
0.000 0.000 4.660
Ca Nd Pb
2 4 4
Cartesian
0.000 0.000 0.000 Ca
4.158 4.158 0.000 Ca
1.444 2.714 2.330 Nd
2.714 6.873 2.330 Nd
5.603 1.444 2.330 Nd
6.873 5.603 2.330 Nd
1.077 5.235 0.000 Pb
3.081 1.077 0.000 Pb
5.235 7.240 0.000 Pb
7.240 3.081 0.000 Pb
```

Computed properties:
- symmetry = P4/mbm, No. 127
- density of states at the Fermi level (states/eV/f.u.) = 2.759

Record 5
Computed, not measured: a relaxed U2Pd6Rh crystal at the GGA-PBE level of DFT.

```
U2Pd6Rh
1.0
6.177 -2.049 0.000
6.177 2.049 0.000
-2.060 0.000 6.126
U Pd Rh
2 6 1
Cartesian
0.034 0.000 1.921 U
10.259 0.000 4.205 U
2.088 0.000 0.017 Pd
2.056 0.000 4.076 Pd
4.122 0.000 2.034 Pd
6.171 0.000 4.092 Pd
8.237 0.000 2.050 Pd
8.206 0.000 6.109 Pd
6.177 0.000 0.000 Rh
```

Computed properties:
- symmetry = C2/m, No. 12
- density of states at the Fermi level (states/eV/f.u.) = 13.281

Record 6
Computed, not measured: a relaxed Nd8SmTm5 crystal at the GGA-PBE level of DFT.

```
Nd8SmTm5
1.0
6.810 -5.177 0.000
6.810 5.177 0.000
-6.805 0.000 6.825
Nd Sm Tm
8 1 5
Cartesian
-2.804 1.549 5.235 Nd
-0.707 0.000 1.649 Nd
1.582 1.597 4.006 Nd
5.233 1.597 2.819 Nd
-1.645 -2.030 6.114 Nd
9.619 1.549 1.590 Nd
8.459 -2.030 0.710 Nd
7.522 0.000 5.176 Nd
6.810 1.572 0.000 Sm
3.407 4.160 3.412 Tm
2.772 -0.260 1.279 Tm
1.281 -1.766 4.050 Tm
4.043 -0.260 5.546 Tm
5.534 -1.766 2.775 Tm
```

Computed properties:
- symmetry = C2, No. 5
- density of states at the Fermi level (states/eV/f.u.) = 20.745

| no. | raw total energy (eV/atom) |
| --- | --- |
| 1 | -4.1324 |
| 2 | -7.7306 |
| 3 | -2.3801 |
| 4 | -4.3349 |
| 5 | -7.2129 |
| 6 | -4.4148 |